Pm4GaSn4 | PBE | relaxed

```
data_Pm4GaSn4
_symmetry_space_group_name_H-M 'P 1'
_symmetry_Int_Tables_number 1
_symmetry_space_group_name_Hall 'P 1'
_cell_length_a 9.1598
_cell_length_b 9.1598
_cell_length_c 6.5250
_cell_angle_alpha 90.00
_cell_angle_beta 90.00
_cell_angle_gamma 90.00
loop_
_atom_site_label
_atom_site_type_symbol
_atom_site_fract_x
_atom_site_fract_y
_atom_site_fract_z
_atom_site_occupancy
Pm1 Pm 0.0104 0.2500 0.0319 1
Pm2 Pm 0.2500 0.0104 0.5319 1
Pm3 Pm 0.2500 0.4896 0.5319 1
Pm4 Pm 0.4896 0.2500 0.0319 1
Pm5 Pm 0.5104 0.7500 0.9681 1
Pm6 Pm 0.7500 0.5104 0.4681 1
Pm7 Pm 0.7500 0.9896 0.4681 1
Pm8 Pm 0.9896 0.7500 0.9681 1
Ga1 Ga 0.2500 0.7500 0.2500 1
Ga2 Ga 0.7500 0.2500 0.7500 1
Sn1 Sn 0.0022 0.7500 0.4827 1
Sn2 Sn 0.2500 0.5022 0.0173 1
Sn3 Sn 0.2500 0.9978 0.0173 1
Sn4 Sn 0.4978 0.7500 0.4827 1
Sn5 Sn 0.5022 0.2500 0.5173 1
Sn6 Sn 0.7500 0.0022 0.9827 1
Sn7 Sn 0.7500 0.4978 0.9827 1
Sn8 Sn 0.9978 0.2500 0.5173 1
```

## Properties
Final energy (eV per atom): -4.850
Energy of formation (eV/atom): -0.623